Entry 1:
Material: TlReTc2
Method: DFT, PBE
State: optimized geometry

Summary:
* ΔE to the lowest computed polymorph: 0.113 eV per atom

abc: 2.871 2.871 8.066
angles: 90.00 90.00 90.00
Element x y z (fractional)
Tl (0.000, 0.000, 0.000)
Re (0.500, 0.500, 0.285)
Tc (0.000, 0.000, 0.503)
Tc (0.500, 0.500, 0.724)

Entry 2:
Material: TlRe2Tc
Method: DFT, PBE
State: optimized geometry

Summary:
* ΔE to the lowest computed polymorph: 0.254 eV per atom

abc: 5.378 5.378 5.378
angles: 145.46 131.32 61.05
Element x y z (fractional)
Tl (0.000, 0.000, 0.000)
Re (0.255, 0.755, 0.500)
Re (0.745, 0.245, 0.500)
Tc (0.500, 0.500, 0.000)

Entry 3:
Material: TlRe2Tc
Method: DFT, PBE
State: optimized geometry

Summary:
* ΔE to the lowest computed polymorph: 0.334 eV per atom

abc: 4.531 4.531 4.531
angles: 60.00 60.00 60.00
Element x y z (fractional)
Tl (0.000, 0.000, 0.000)
Re (0.500, 0.500, 0.500)
Re (0.750, 0.750, 0.750)
Tc (0.250, 0.250, 0.250)

Entry 4:
Material: TlRe2Tc
Method: DFT, PBE
State: optimized geometry

Summary:
* ΔE to the lowest computed polymorph: 0.117 eV per atom

abc: 2.865 2.865 8.143
angles: 90.00 90.00 90.00
Element x y z (fractional)
Tl (0.000, 0.000, 0.000)
Re (0.500, 0.500, 0.281)
Re (0.500, 0.500, 0.719)
Tc (0.000, 0.000, 0.500)

Entry 5:
Material: TlRe2Tc
Method: DFT, PBE
State: optimized geometry

Summary:
* ΔE to the lowest computed polymorph: 0.176 eV per atom

abc: 4.914 4.914 4.970
angles: 101.00 101.00 34.76
Element x y z (fractional)
Tl (0.000, 0.000, 0.000)
Re (0.235, 0.235, 0.698)
Re (0.498, 0.498, 0.501)
Tc (0.764, 0.764, 0.278)

Entry 6:
Material: TlReTc2
Method: DFT, PBE
State: optimized geometry

Summary:
* ΔE to the lowest computed polymorph: 0.280 eV per atom

abc: 4.522 4.522 4.522
angles: 60.00 60.00 60.00
Element x y z (fractional)
Tl (0.000, 0.000, 0.000)
Re (0.500, 0.500, 0.500)
Tc (0.250, 0.250, 0.250)
Tc (0.750, 0.750, 0.750)

Entry 7:
Material: TlRe2Tc
Method: DFT, PBE
State: optimized geometry

Summary:
* ΔE to the lowest computed polymorph: 0.100 eV per atom

abc: 9.580 9.580 9.580
angles: 17.19 17.19 17.19
Element x y z (fractional)
Tl (0.000, 0.000, 0.000)
Re (0.242, 0.242, 0.242)
Re (0.758, 0.758, 0.758)
Tc (0.500, 0.500, 0.500)

Entry 8:
Material: TlReTc2
Method: DFT, PBE
State: optimized geometry

Summary:
* ΔE to the lowest computed polymorph: 0.314 eV per atom

abc: 4.886 4.886 4.886
angles: 130.95 130.95 71.90
Element x y z (fractional)
Tl (0.000, 0.000, 0.000)
Re (0.500, 0.500, 0.000)
Tc (0.250, 0.750, 0.500)
Tc (0.750, 0.250, 0.500)

Number 1: total magnetization 0.003 μB/f.u., DFT formation energy 0.510 eV per atom. Number 2: total magnetization 0.000 μB/f.u., DFT formation energy 0.744 eV per atom. Number 3: total magnetization 0.000 μB/f.u., DFT formation energy 0.824 eV per atom. Number 4: total magnetization 0.000 μB/f.u., DFT formation energy 0.607 eV per atom. Number 5: total magnetization 0.000 μB/f.u., DFT formation energy 0.666 eV per atom. Number 6: total magnetization 0.003 μB/f.u., DFT formation energy 0.678 eV per atom. Number 7: total magnetization 0.000 μB/f.u., DFT formation energy 0.590 eV per atom. Number 8: total magnetization 0.000 μB/f.u., DFT formation energy 0.711 eV per atom.